1.
Below is an optimized crystal structure of DyTm2Ga4, with properties calculated at the PBE level.

Computed properties:
Crystal system: orthorhombic
Calculated formation energy, eV per atom: -0.625

Cell lengths 4.104, 4.208, 18.051 Å; angles 90.00, 90.00, 90.00 degrees
Space group Immm (No. 71)
Asymmetric unit:
Dy 0.000 0.000 0.000 (multiplicity 2)
Tm 0.000 0.500 0.315 (multiplicity 4)
Ga 0.000 0.000 0.433 (multiplicity 4)
Ga 0.000 0.500 0.148 (multiplicity 4)

=====

2.
Below is an optimized crystal structure of Dy2TmGa6, with properties calculated at the PBE level.

Computed properties:
Crystal system: orthorhombic
Calculated formation energy, eV per atom: -0.447

Cell lengths 4.285, 6.919, 13.406 Å; angles 90.00, 90.00, 90.00 degrees
Space group Immm (No. 71)
Asymmetric unit:
Dy 0.000 0.000 0.125 (multiplicity 4)
Tm 0.000 0.500 0.000 (multiplicity 2)
Ga 0.000 0.192 0.316 (multiplicity 8)
Ga 0.000 0.307 0.500 (multiplicity 4)

=====

3.
Below is an optimized crystal structure of DyTm3Ga2, with properties calculated at the PBE level.

Computed properties:
Crystal system: monoclinic
Calculated formation energy, eV per atom: -0.329

Cell lengths 15.756, 5.018, 8.769 Å; angles 90.00, 117.86, 90.00 degrees
Space group C2/m (No. 12)
Asymmetric unit:
Dy 0.130 0.000 0.189 (multiplicity 4)
Tm 0.062 0.000 0.717 (multiplicity 4)
Tm 0.121 0.500 0.513 (multiplicity 4)
Tm 0.187 0.500 0.990 (multiplicity 4)
Ga 0.016 0.500 0.153 (multiplicity 4)
Ga 0.227 0.000 0.616 (multiplicity 4)

=====

Number 1: total energy -30.0 eV/f.u.. Number 2: total energy -35.9 eV/f.u.. Number 3: total energy -26.0 eV/f.u..